P | Here is ZnCr3Ir after structural relaxation from Alexandria. Energies are from GGA-PBE.

```
ZnCr3Ir
1.0
-3.2613 -0.9868 3.3131
1.0899 -4.6160 -0.3021
3.2806 0.5525 3.3939
Cr Zn Ir
3 1 1
Direct
0.0000 0.5000 0.0000 Cr
0.0000 0.0000 0.5000 Cr
0.5000 0.0000 0.0000 Cr
0.5000 0.5000 0.5000 Zn
0.0000 0.0000 0.0000 Ir
```

Q | Here is ZnCr3Ir after structural relaxation from Alexandria. Energies are from GGA-PBE.

```
ZnCr3Ir
1.0
-0.0935 -3.6701 2.1177
0.3061 -2.1185 -3.6580
4.2262 0.0722 0.3118
Cr Zn Ir
3 1 1
Direct
0.0000 0.5000 0.0000 Cr
0.0000 0.0000 0.5000 Cr
0.5000 0.0000 0.0000 Cr
0.0000 0.0000 0.0000 Zn
0.5000 0.5000 0.5000 Ir
```

Most stable of them? P.

P | Here is ZnCrIr3 after structural relaxation from Alexandria. Energies are from GGA-PBE.

```
ZnCrIr3
1.0
4.4839 0.0000 0.0000
0.0000 4.4839 0.0000
0.0000 0.0000 4.4839
Cr Zn Ir
1 1 3
Direct
0.0000 0.0000 0.0000 Cr
0.5000 0.5000 0.5000 Zn
0.0000 0.5000 0.0000 Ir
0.0000 0.0000 0.5000 Ir
0.5000 0.0000 0.0000 Ir
```

Q | Here is ZnCrIr3 after structural relaxation from Alexandria. Energies are from GGA-PBE.

```
ZnCrIr3
1.0
-3.2758 2.4242 -1.9117
-3.0361 -3.0351 1.3538
-0.5599 2.2746 3.8438
Cr Zn Ir
1 1 3
Direct
0.5000 0.5000 0.5000 Cr
0.0000 0.0000 0.0000 Zn
0.0000 0.5000 0.0000 Ir
0.0000 0.0000 0.5000 Ir
0.5000 0.0000 0.0000 Ir
```

Most stable of them? P.

P | Here is Zr2CrIr after structural relaxation from Alexandria. Energies are from GGA-PBE.

```
Zr2CrIr
1.0
4.1744 0.0000 0.0000
0.0000 4.1744 0.0000
2.0872 2.0872 9.2383
Cr Ir Zr
2 2 4
Direct
0.5000 0.5000 0.0000 Cr
0.2500 0.7500 0.5000 Cr
0.0000 0.0000 0.0000 Ir
0.7500 0.2500 0.5000 Ir
0.6292 0.1250 0.2500 Zr
0.1208 0.6250 0.2500 Zr
0.3750 0.3708 0.7500 Zr
0.8750 0.8792 0.7500 Zr
```

Q | Here is Zr2CrIr after structural relaxation from Alexandria. Energies are from GGA-PBE.

```
Zr2CrIr
1.0
-1.8357 1.3126 2.4512
-2.3147 -3.9533 0.3835
3.0595 -1.4916 3.0899
Cr Ir Zr
1 1 2
Direct
0.5000 0.0000 0.0000 Cr
0.5000 0.5000 0.5000 Ir
0.0000 0.0000 0.5000 Zr
0.0000 0.5000 0.0000 Zr
```

R | Here is Zr2CrIr after structural relaxation from Alexandria. Energies are from GGA-PBE.

```
Zr2CrIr
1.0
-0.9627 1.6836 2.4544
2.9602 -1.9189 2.4773
3.6439 3.9599 -1.2870
Cr Ir Zr
1 1 2
Direct
0.0000 0.0000 0.4603 Cr
0.5000 0.5000 0.7866 Ir
0.0000 0.0000 0.9551 Zr
0.5000 0.5000 0.2979 Zr
```

Most stable of them? Q.

P | Here is Zr2CrIr after structural relaxation from Alexandria. Energies are from GGA-PBE.

```
Zr2CrIr
1.0
-1.2795 0.5178 2.9788
2.7524 -1.1392 1.3803
2.5820 6.2629 0.0204
Cr Ir Zr
1 1 2
Direct
0.0000 0.0000 0.5140 Cr
0.5000 0.5000 0.7441 Ir
0.0000 0.0000 0.9674 Zr
0.5000 0.5000 0.2745 Zr
```

Q | Here is Zr2CrIr after structural relaxation from Alexandria. Energies are from GGA-PBE.

```
Zr2CrIr
1.0
4.5706 0.0000 0.0000
2.2853 3.9582 0.0000
2.2853 1.3194 3.7319
Cr Ir Zr
1 1 2
Direct
0.5000 0.5000 0.5000 Cr
0.7500 0.7500 0.7500 Ir
0.0000 0.0000 0.0000 Zr
0.2500 0.2500 0.2500 Zr
```

R | Here is Zr2CrIr after structural relaxation from Alexandria. Energies are from GGA-PBE.

```
Zr2CrIr
1.0
8.7457 0.0160 0.0094
8.1864 3.0772 0.0094
8.1864 1.4955 2.6894
Cr Ir Zr
1 1 2
Direct
0.2500 0.2500 0.2500 Cr
0.7500 0.7500 0.7500 Ir
0.9976 0.9976 0.9976 Zr
0.5024 0.5024 0.5024 Zr
```

S | Here is Zr2CrIr after structural relaxation from Alexandria. Energies are from GGA-PBE.

```
Zr2CrIr
1.0
-1.6360 1.4174 -1.9458
-1.4627 -2.4543 -0.5556
-5.5384 1.9285 6.0615
Cr Ir Zr
1 1 2
Direct
0.0000 0.0000 0.5344 Cr
0.5000 0.5000 0.7088 Ir
0.0000 0.0000 0.9630 Zr
0.5000 0.5000 0.2938 Zr
```

Most stable of them? Q.

P | Here is Zr2CrIr after structural relaxation from Alexandria. Energies are from GGA-PBE.

```
Zr2CrIr
1.0
-0.2724 -5.1261 -2.0649
2.5024 -4.2022 2.5874
-3.3991 4.1996 1.1934
Cr Ir Zr
1 1 2
Direct
0.5000 0.5000 0.0000 Cr
0.7500 0.2500 0.5000 Ir
0.0000 0.0000 0.0000 Zr
0.2500 0.7500 0.5000 Zr
```

Q | Here is Zr2CrIr after structural relaxation from Alexandria. Energies are from GGA-PBE.

```
Zr2CrIr
1.0
-0.6608 2.7148 -1.6378
-2.6742 0.5091 1.9228
3.6632 3.4191 4.1896
Cr Ir Zr
1 1 2
Direct
0.5000 0.5000 0.2500 Cr
0.5000 0.5000 0.7500 Ir
0.0000 0.0000 0.0043 Zr
0.0000 0.0000 0.4957 Zr
```

Most stable of them? Q.

P | Here is ZrCr2Ir after structural relaxation from Alexandria. Energies are from GGA-PBE.

```
ZrCr2Ir
1.0
-7.9387 0.2406 -3.1605
-6.5048 -0.6376 -5.5092
-7.3512 -2.5635 -3.5296
Cr Ir Zr
2 1 1
Direct
0.9865 0.9865 0.9865 Cr
0.2566 0.2566 0.2566 Cr
0.5093 0.5093 0.5093 Ir
0.7477 0.7477 0.7477 Zr
```

Q | Here is ZrCr2Ir after structural relaxation from Alexandria. Energies are from GGA-PBE.

```
ZrCr2Ir
1.0
2.7352 -0.0172 0.0000
0.0162 2.7352 0.0000
0.0000 0.0000 8.0768
Cr Ir Zr
2 1 1
Direct
0.0000 0.0000 0.0313 Cr
0.0000 0.0000 0.4687 Cr
0.5000 0.5000 0.2500 Ir
0.5000 0.5000 0.7500 Zr
```

Most stable of them? Q.

P | Here is ZrCr2Ir after structural relaxation from Alexandria. Energies are from GGA-PBE.

```
ZrCr2Ir
1.0
-0.8160 0.5978 2.8106
1.3954 -2.4720 0.9299
5.6444 3.5209 0.8899
Cr Ir Zr
2 1 1
Direct
0.0000 0.0000 0.0452 Cr
0.5000 0.5000 0.2268 Cr
0.0000 0.0000 0.4671 Ir
0.5000 0.5000 0.7609 Zr
```

Q | Here is ZrCr2Ir after structural relaxation from Alexandria. Energies are from GGA-PBE.

```
ZrCr2Ir
1.0
-1.6013 0.3033 -3.0315
-2.9846 -2.5985 1.3166
-2.3165 3.4559 1.5694
Cr Ir Zr
2 1 1
Direct
0.0000 0.0000 0.0000 Cr
0.5000 0.5000 0.0000 Cr
0.5000 0.0000 0.5000 Ir
0.0000 0.5000 0.5000 Zr
```

Most stable of them? Q.

P | Here is ZrCr2Ir after structural relaxation from Alexandria. Energies are from GGA-PBE.

```
ZrCr2Ir
1.0
0.0000 3.0876 3.0876
3.0876 0.0000 3.0876
3.0876 3.0876 0.0000
Cr Ir Zr
2 1 1
Direct
0.2500 0.2500 0.2500 Cr
0.7500 0.7500 0.7500 Cr
0.5000 0.5000 0.5000 Ir
0.0000 0.0000 0.0000 Zr
```

Q | Here is ZrCr2Ir after structural relaxation from Alexandria. Energies are from GGA-PBE.

```
ZrCr2Ir
1.0
-3.4351 1.9286 -1.7231
-1.6451 -1.6845 1.3943
-0.6906 2.7023 4.4014
Cr Ir Zr
2 1 1
Direct
0.0000 0.9462 0.0374 Cr
0.0000 0.5538 0.4626 Cr
0.5000 0.2500 0.2500 Ir
0.5000 0.7500 0.7500 Zr
```

Most stable of them? P.

P | Here is ZrCr2Ir after structural relaxation from Alexandria. Energies are from GGA-PBE.

```
ZrCr2Ir
1.0
-0.7190 -1.0774 4.9426
3.7531 -2.5228 2.3785
-0.9832 4.2349 -2.6845
Cr Ir Zr
2 1 1
Direct
0.0006 0.0006 0.0000 Cr
0.4994 0.4994 0.0000 Cr
0.7500 0.2500 0.5000 Ir
0.2500 0.7500 0.5000 Zr
```

Q | Here is ZrCr2Ir after structural relaxation from Alexandria. Energies are from GGA-PBE.

```
ZrCr2Ir
1.0
2.7240 0.0000 0.0000
0.0000 3.8057 0.0000
0.0000 0.0000 5.9043
Cr Ir Zr
2 1 1
Direct
0.0000 0.0000 0.0499 Cr
0.0000 0.0000 0.4501 Cr
0.5000 0.5000 0.2500 Ir
0.5000 0.5000 0.7500 Zr
```

R | Here is ZrCr2Ir after structural relaxation from Alexandria. Energies are from GGA-PBE.

```
ZrCr2Ir
1.0
-5.1157 -4.0683 6.7540
-6.6224 -4.8394 4.5894
-4.4403 -6.3287 5.3451
Cr Ir Zr
2 1 1
Direct
0.9914 0.9914 0.9914 Cr
0.5086 0.5086 0.5086 Cr
0.2500 0.2500 0.2500 Ir
0.7500 0.7500 0.7500 Zr
```

S | Here is ZrCr2Ir after structural relaxation from Alexandria. Energies are from GGA-PBE.

```
ZrCr2Ir
1.0
-1.1979 1.2872 -4.1058
1.9328 -1.8538 -3.5745
-2.3329 -2.7678 -2.6164
Cr Ir Zr
2 1 1
Direct
0.0000 0.0000 0.0000 Cr
0.2500 0.2500 0.2500 Cr
0.5000 0.5000 0.5000 Ir
0.7500 0.7500 0.7500 Zr
```

Most stable of them? S.

P | Here is KCr after structural relaxation from Alexandria. Energies are from GGA-PBE.

```
KCr
1.0
3.9058 0.0000 0.0000
0.0000 6.2269 0.0000
0.0000 0.0000 17.4552
K Cr
6 6
Direct
0.0000 0.7501 0.6900 K
0.5000 0.2499 0.8100 K
0.5000 0.2499 0.1900 K
0.0000 0.7501 0.3100 K
0.0000 0.2566 0.0000 K
0.5000 0.7434 0.5000 K
0.0000 0.7548 0.9124 Cr
0.5000 0.2452 0.5876 Cr
0.5000 0.2452 0.4124 Cr
0.0000 0.7548 0.0876 Cr
0.0000 0.2419 0.5000 Cr
0.5000 0.7581 0.0000 Cr
```

Q | Here is KCr after structural relaxation from Alexandria. Energies are from GGA-PBE.

```
KCr
1.0
6.6213 0.0000 0.0000
0.0000 15.4988 0.0000
0.0000 0.0000 10.5590
K Cr
16 16
Direct
0.0000 0.0000 0.6656 K
0.0000 0.0000 0.3344 K
0.2500 0.7500 0.5844 K
0.2500 0.7500 0.9156 K
0.0000 0.5000 0.1656 K
0.0000 0.5000 0.8344 K
0.2500 0.2500 0.0844 K
0.2500 0.2500 0.4156 K
0.5000 0.0000 0.1656 K
0.5000 0.0000 0.8344 K
0.7500 0.7500 0.0844 K
0.7500 0.7500 0.4156 K
0.5000 0.5000 0.6656 K
0.5000 0.5000 0.3344 K
0.7500 0.2500 0.5844 K
0.7500 0.2500 0.9156 K
0.0000 0.0558 0.0000 Cr
0.0000 0.9442 0.0000 Cr
0.2500 0.6942 0.2500 Cr
0.2500 0.8058 0.2500 Cr
0.0000 0.5558 0.5000 Cr
0.0000 0.4442 0.5000 Cr
0.2500 0.1942 0.7500 Cr
0.2500 0.3058 0.7500 Cr
0.5000 0.0558 0.5000 Cr
0.5000 0.9442 0.5000 Cr
0.7500 0.6942 0.7500 Cr
0.7500 0.8058 0.7500 Cr
0.5000 0.5558 0.0000 Cr
0.5000 0.4442 0.0000 Cr
0.7500 0.1942 0.2500 Cr
0.7500 0.3058 0.2500 Cr
```

Most stable of them? P.

P | Here is KCr after structural relaxation from Alexandria. Energies are from GGA-PBE.

```
KCr
1.0
-3.5168 -1.7679 9.1122
9.2126 -1.8552 3.1956
1.1340 9.5895 2.2982
K Cr
8 8
Direct
0.2191 0.2191 0.2191 K
0.2191 0.7809 0.7809 K
0.7809 0.2191 0.7809 K
0.7809 0.7809 0.2191 K
0.7191 0.7191 0.7191 K
0.7191 0.2809 0.2809 K
0.2809 0.7191 0.2809 K
0.2809 0.2809 0.7191 K
0.4239 0.4239 0.4239 Cr
0.4239 0.5761 0.5761 Cr
0.5761 0.4239 0.5761 Cr
0.5761 0.5761 0.4239 Cr
0.9239 0.9239 0.9239 Cr
0.9239 0.0761 0.0761 Cr
0.0761 0.9239 0.0761 Cr
0.0761 0.0761 0.9239 Cr
```

Q | Here is KCr after structural relaxation from Alexandria. Energies are from GGA-PBE.

```
KCr
1.0
-0.9774 3.1550 -1.2753
1.1190 -0.9551 -3.2205
-5.0221 -2.0190 -1.1462
Cr K
1 1
Direct
0.0000 0.0000 0.0000 Cr
0.5000 0.5000 0.5000 K
```

Most stable of them? Q.